Record 1
# PdRu2W

A relaxed structure of PdRu2W (GGA-PBE, Alexandria via LeMat-Bulk).

Computed properties:
As for the density of states at the Fermi level: 5.49 states/eV/cell. The value obtained for the magnetic moment is 0.000 μB/cell. For the energy above the lowest structure with this stoichiometry, the calculation gives 123.6 kJ per mole of atoms. Its crystal system is tetragonal. The total energy comes out at -63.112 eV per cell.

Cell and atoms, written as POSCAR:
```
PdRu2W
1.0
-5.644 -0.331 1.397
-1.225 -1.841 -5.388
-2.774 -5.956 -0.482
Ru Pd W
4 2 2
Direct
0.633 0.125 0.250
0.117 0.625 0.250
0.375 0.367 0.750
0.875 0.883 0.750
0.500 0.500 0.000
0.250 0.750 0.500
0.000 0.000 0.000
0.750 0.250 0.500
```

***

Record 2
# PdRu3W

A relaxed structure of PdRu3W (GGA-PBE, Alexandria via LeMat-Bulk).

Computed properties:
As for the density of states at the Fermi level: 6.60 states/eV/cell. The value obtained for the magnetic moment is 0.232 μB/cell. For the energy above the lowest structure with this stoichiometry, the calculation gives 0.0 kJ per mole of atoms. Its crystal system is trigonal. The total energy comes out at -39.239 eV per cell.

Cell and atoms, written as POSCAR:
```
PdRu3W
1.0
4.665 0.000 2.217
1.806 4.301 2.217
0.331 0.220 5.319
Pd Ru W
1 3 1
Direct
0.975 0.975 0.075
0.475 0.975 0.575
0.975 0.475 0.575
0.975 0.975 0.575
0.475 0.475 0.575
```

***

Record 3
# Pd2RuW

A relaxed structure of Pd2RuW (GGA-PBE, Alexandria via LeMat-Bulk).

Computed properties:
As for the density of states at the Fermi level: 9.79 states/eV/cell. The value obtained for the magnetic moment is 0.515 μB/cell. For the energy above the lowest structure with this stoichiometry, the calculation gives 25.8 kJ per mole of atoms. Its crystal system is tetragonal. The total energy comes out at -59.560 eV per cell.

Cell and atoms, written as POSCAR:
```
Pd2RuW
1.0
7.141 0.000 0.000
0.000 7.141 0.000
3.570 3.570 2.600
Ru Pd W
2 4 2
Direct
0.500 0.500 0.000
0.250 0.750 0.500
0.640 0.125 0.250
0.110 0.625 0.250
0.375 0.360 0.750
0.875 0.890 0.750
0.000 0.000 0.000
0.750 0.250 0.500
```

***

Record 4
# Pd2RuW

A relaxed structure of Pd2RuW (GGA-PBE, Alexandria via LeMat-Bulk).

Computed properties:
As for the density of states at the Fermi level: 5.46 states/eV/cell. The value obtained for the magnetic moment is 0.000 μB/cell. For the energy above the lowest structure with this stoichiometry, the calculation gives 0.0 kJ per mole of atoms. Its crystal system is cubic. The total energy comes out at -30.851 eV per cell.

Cell and atoms, written as POSCAR:
```
Pd2RuW
1.0
1.244 -2.603 -3.348
0.531 -4.339 0.653
-2.870 -2.866 -1.755
Ru Pd W
1 2 1
Direct
0.000 0.000 0.000
0.250 0.250 0.250
0.750 0.750 0.750
0.500 0.500 0.500
```

***

Record 5
# PdRuW2

A relaxed structure of PdRuW2 (GGA-PBE, Alexandria via LeMat-Bulk).

Computed properties:
As for the density of states at the Fermi level: 4.56 states/eV/cell. The value obtained for the magnetic moment is 0.000 μB/cell. For the energy above the lowest structure with this stoichiometry, the calculation gives 15.7 kJ per mole of atoms. Its crystal system is cubic. The total energy comes out at -39.295 eV per cell.

Cell and atoms, written as POSCAR:
```
PdRuW2
1.0
-0.258 4.210 1.383
-3.947 1.770 0.998
-1.030 0.889 4.226
Pd Ru W
1 1 2
Direct
0.500 0.500 0.500
0.750 0.750 0.750
0.000 0.000 0.000
0.250 0.250 0.250
```

***

Record 6
# Y2PdRuW

A relaxed structure of Y2PdRuW (GGA-PBE, Alexandria via LeMat-Bulk).

Computed properties:
As for the density of states at the Fermi level: 6.41 states/eV/cell. The value obtained for the magnetic moment is 4.074 μB/cell. Its crystal system is tetragonal. The total energy comes out at -35.150 eV per cell.

Cell and atoms, written as POSCAR:
```
Y2PdRuW
1.0
5.152 0.000 0.000
0.000 4.844 0.000
0.000 0.000 5.152
Y Ru Pd W
2 1 1 1
Direct
0.000 0.000 0.500
0.500 0.000 0.000
0.000 0.000 0.000
0.000 0.500 0.000
0.500 0.500 0.500
```

***

Record 7
# Y2PdRu

A relaxed structure of Y2PdRu (GGA-PBE, Alexandria via LeMat-Bulk).

Computed properties:
As for the density of states at the Fermi level: 2.05 states/eV/cell. The value obtained for the magnetic moment is 0.000 μB/cell. Its crystal system is tetragonal. The total energy comes out at -29.997 eV per cell.

Cell and atoms, written as POSCAR:
```
Y2PdRu
1.0
-1.660 2.708 -1.372
-2.881 -1.897 -0.260
-1.921 2.045 6.361
Y Ru Pd
2 1 1
Direct
0.000 0.000 0.760
0.000 0.000 0.240
0.500 0.500 0.000
0.500 0.500 0.500
```

***

Record 8
# Y4PdRu2

A relaxed structure of Y4PdRu2 (GGA-PBE, Alexandria via LeMat-Bulk).

Computed properties:
As for the density of states at the Fermi level: 4.24 states/eV/cell. The value obtained for the magnetic moment is 0.000 μB/cell. Its crystal system is trigonal. The total energy comes out at -52.828 eV per cell.

Cell and atoms, written as POSCAR:
```
Y4PdRu2
1.0
4.636 0.000 1.448
2.092 4.137 1.448
-0.066 -0.040 8.353
Y Pd Ru
4 1 2
Direct
0.872 0.872 0.383
0.128 0.128 0.617
0.622 0.622 0.135
0.378 0.378 0.865
0.000 0.000 0.000
0.748 0.748 0.755
0.252 0.252 0.245
```

***

What is the formula in the fifth record?
PdRuW2

***

magnetic moment of number 7 (Y2PdRu)?
0.000 μB/cell

***

magnetic moment of number 8 (Y4PdRu2)?
0.000 μB/cell